# 1
# Cd2CuRh

An optimized crystal structure of Cd2CuRh (PBE, the Alexandria database).

Geometry as CIF:
```
data_Cd2CuRh
_chemical_formula_sum 'Cd8 Cu4 Rh4'
_space_group_name_H-M_alt 'F -4 3 m'
_space_group_IT_number 216
_space_group_name_Hall 'F -4 2 3'
_cell_length_a 6.445
_cell_length_b 6.445
_cell_length_c 6.445
_cell_angle_alpha 90.00
_cell_angle_beta 90.00
_cell_angle_gamma 90.00
loop_
_atom_site_label
_atom_site_fract_x
_atom_site_fract_y
_atom_site_fract_z
Cd1 0.000 0.000 0.000
Cd2 0.250 0.250 0.250
Cu1 0.000 0.000 0.500
Rh1 0.250 0.250 0.750
```

Computed properties:
The theoretical density is 9.71 Mg/m³. Its electronic total energy is -52.5 eV per cell. The calculation puts the energy of formation at 0.04 eV/atom.

=====

# 2
# MnZn2PN4

An optimized crystal structure of MnZn2PN4 (PBE, the Alexandria database).

Geometry as CIF:
```
data_MnZn2PN4
_chemical_formula_sum 'Mn2 Zn4 P2 N8'
_space_group_name_H-M_alt 'I -4 2 m'
_space_group_IT_number 121
_space_group_name_Hall 'I -4 2'
_cell_length_a 4.505
_cell_length_b 4.505
_cell_length_c 8.649
_cell_angle_alpha 90.00
_cell_angle_beta 90.00
_cell_angle_gamma 90.00
loop_
_atom_site_label
_atom_site_fract_x
_atom_site_fract_y
_atom_site_fract_z
Mn1 0.000 0.000 0.000
Zn1 0.000 0.500 0.250
P1 0.000 0.000 0.500
N1 0.218 0.218 0.394
```

Computed properties:
The theoretical density is 5.16 Mg/m³. Its electronic total energy is -105.4 eV per cell.